First-principles (PBE) data for a relaxed structure of Dy6Y2Ho3Er, as listed in the Alexandria database.

```
Dy6Y2Ho3Er
1.0
-4.3288 -2.9073 -3.2193
5.1327 -2.9496 1.5844
-5.2711 -1.4888 10.3689
Dy Y Ho Er
6 2 3 1
Cartesian
-4.9189 -5.5004 5.7437
-0.7179 -4.7745 1.3720
0.4517 -1.8453 2.9903
-1.7734 -5.5145 7.3407
-3.7493 -2.5712 7.3620
-2.6938 -1.8313 1.3933
1.9793 -2.9355 -0.0166
-1.1754 -2.9214 -1.6183
0.9206 -3.6870 5.9684
-5.3878 -3.6588 2.7655
-2.2336 -3.6729 4.3670
0.0000 0.0000 0.0000
```

* energy relative to the elements: 19 meV/atom
* V: 31.32 Å³/atom
* space-group type: C2/m